[1]
Below is crystalline Sc4TcP at its relaxed geometry, with properties calculated at the GGA-PBE level.

Calculated volume   19.79 A^3/atom
Energy relative to the elements   -0.6145 eV per atom
Calculated total energy   -7.465 eV per atom
Calculated density   4.32 Mg/m³

a b c (Å): 4.017 7.091 16.677
angles (deg): 90.00 90.00 90.00
Fractional coordinates of all 24 atoms:
Sc: 0.750 0.901 0.647
Sc: 0.250 0.099 0.353
Sc: 0.250 0.599 0.147
Sc: 0.750 0.401 0.853
Sc: 0.750 0.839 0.447
Sc: 0.250 0.161 0.553
Sc: 0.250 0.661 0.947
Sc: 0.750 0.339 0.053
Sc: 0.750 0.000 0.930
Sc: 0.250 0.000 0.070
Sc: 0.250 0.500 0.430
Sc: 0.750 0.500 0.570
Sc: 0.750 0.936 0.221
Sc: 0.250 0.064 0.779
Sc: 0.250 0.564 0.721
Sc: 0.750 0.436 0.279
Tc: 0.750 0.245 0.434
Tc: 0.250 0.755 0.566
Tc: 0.250 0.255 0.934
Tc: 0.750 0.745 0.066
P: 0.750 0.768 0.803
P: 0.250 0.232 0.197
P: 0.250 0.732 0.303
P: 0.750 0.268 0.697



[2]
Below is crystalline Sc2Tc2P at its relaxed geometry, with properties calculated at the GGA-PBE level.

Calculated volume   17.13 A^3/atom
Energy relative to the elements   -0.4546 eV per atom
Calculated total energy   -8.216 eV per atom
Calculated density   6.14 Mg/m³

a b c (Å): 6.282 6.282 4.341
angles (deg): 90.00 90.00 90.00
Fractional coordinates of all 10 atoms:
Sc: 0.171 0.671 0.500
Sc: 0.671 0.829 0.500
Sc: 0.829 0.329 0.500
Sc: 0.329 0.171 0.500
P: 0.000 0.000 0.000
P: 0.500 0.500 0.000
Tc: 0.351 0.851 0.000
Tc: 0.851 0.649 0.000
Tc: 0.649 0.149 0.000
Tc: 0.149 0.351 0.000



[3]
Below is crystalline ScTeP2 at its relaxed geometry, with properties calculated at the GGA-PBE level.

Calculated volume   22.33 A^3/atom
ΔE_f (raw)   -361 meV/atom
Calculated total energy   -5.434 eV per atom
Calculated density   4.36 Mg/m³

a b c (Å): 3.262 3.262 8.397
angles (deg): 90.00 90.00 90.00
Fractional coordinates of all 4 atoms:
Sc: 0.000 0.000 0.443
Te: 0.500 0.500 0.691
P: 0.000 0.000 0.134
P: 0.500 0.500 0.232



[4]
Below is crystalline ScTe2P at its relaxed geometry, with properties calculated at the GGA-PBE level.

Calculated volume   27.44 A^3/atom
ΔE_f (raw)   -389 meV/atom
Calculated total energy   -4.895 eV per atom
Calculated density   5.01 Mg/m³

a b c (Å): 5.643 5.643 5.576
angles (deg): 87.29 87.29 38.24
Fractional coordinates of all 4 atoms:
Sc: 0.778 0.778 0.815
Te: 0.051 0.051 0.873
Te: 0.256 0.256 0.241
P: 0.415 0.415 0.571



[5]
Below is crystalline ScTeP2 at its relaxed geometry, with properties calculated at the GGA-PBE level.

Calculated volume   20.74 A^3/atom
ΔE_f (raw)   -553 meV/atom
Calculated total energy   -5.626 eV per atom
Calculated density   4.69 Mg/m³

a b c (Å): 3.937 3.922 5.709
angles (deg): 70.28 90.00 90.00
Fractional coordinates of all 4 atoms:
P: 0.000 0.044 0.136
P: 0.500 0.326 0.162
Sc: 0.000 0.367 0.500
Te: 0.500 0.763 0.702



[6]
Below is crystalline ScTeP at its relaxed geometry, with properties calculated at the GGA-PBE level.

Calculated volume   22.70 A^3/atom
ΔE_f (raw)   -723 meV/atom
Calculated total energy   -5.684 eV per atom
Calculated density   4.96 Mg/m³

a b c (Å): 5.754 5.754 5.754
angles (deg): 143.14 143.14 53.11
Fractional coordinates of all 3 atoms:
Sc: 0.369 0.369 0.000
Te: 0.689 0.689 0.000
P: 0.943 0.943 0.000



[7]
Below is crystalline ScTeP at its relaxed geometry, with properties calculated at the GGA-PBE level.

Calculated volume   24.91 A^3/atom
ΔE_f (raw)   -410 meV/atom
Calculated total energy   -5.371 eV per atom
Calculated density   4.52 Mg/m³

a b c (Å): 4.728 4.728 4.728
angles (deg): 60.00 60.00 60.00
Fractional coordinates of all 3 atoms:
Sc: 0.750 0.750 0.750
Te: 0.000 0.000 0.000
P: 0.500 0.500 0.500



[8]
Below is crystalline ScTe2P at its relaxed geometry, with properties calculated at the GGA-PBE level.

Calculated volume   29.17 A^3/atom
ΔE_f (raw)   161 meV/atom
Calculated total energy   -4.345 eV per atom
Calculated density   4.71 Mg/m³

a b c (Å): 9.166 9.166 9.166
angles (deg): 24.53 24.53 24.53
Fractional coordinates of all 4 atoms:
Sc: 0.000 0.000 0.000
P: 0.500 0.500 0.500
Te: 0.894 0.894 0.894
Te: 0.106 0.106 0.106



[9]
Below is crystalline ScTe2P at its relaxed geometry, with properties calculated at the GGA-PBE level.

Calculated volume   23.19 A^3/atom
ΔE_f (raw)   37 meV/atom
Calculated total energy   -4.470 eV per atom
Calculated density   5.93 Mg/m³

a b c (Å): 5.081 5.081 5.081
angles (deg): 60.00 60.00 60.00
Fractional coordinates of all 4 atoms:
Sc: 0.250 0.250 0.250
Te: 0.000 0.000 0.000
Te: 0.750 0.750 0.750
P: 0.500 0.500 0.500



[10]
Below is crystalline ScTeP2 at its relaxed geometry, with properties calculated at the GGA-PBE level.

Calculated volume   19.20 A^3/atom
ΔE_f (raw)   -175 meV/atom
Calculated total energy   -5.248 eV per atom
Calculated density   5.07 Mg/m³

a b c (Å): 4.704 4.704 3.532
angles (deg): 90.00 90.00 100.67
Fractional coordinates of all 4 atoms:
P: 0.000 0.000 0.000
P: 0.500 0.500 0.000
Sc: 0.500 0.000 0.500
Te: 0.000 0.500 0.500



[11]
Below is crystalline ScTe2P at its relaxed geometry, with properties calculated at the GGA-PBE level.

Calculated volume   25.10 A^3/atom
ΔE_f (raw)   -376 meV/atom
Calculated total energy   -4.882 eV per atom
Calculated density   5.48 Mg/m³

a b c (Å): 4.093 4.093 5.994
angles (deg): 90.00 90.00 90.00
Fractional coordinates of all 4 atoms:
Sc: 0.000 0.000 0.500
Te: 0.000 0.000 0.000
Te: 0.500 0.500 0.500
P: 0.500 0.500 0.000



[12]
Below is crystalline ScTe2P at its relaxed geometry, with properties calculated at the GGA-PBE level.

Calculated volume   25.87 A^3/atom
ΔE_f (raw)   -300 meV/atom
Calculated total energy   -4.806 eV per atom
Calculated density   5.31 Mg/m³

a b c (Å): 5.127 5.127 5.127
angles (deg): 111.20 111.20 106.07
Fractional coordinates of all 4 atoms:
Sc: 0.500 0.500 0.000
Te: 0.000 0.500 0.500
Te: 0.500 0.000 0.500
P: 0.000 0.000 0.000



What is the formula in the fifth record? ScTeP2



calculated density of number 7 (ScTeP)? 4.52 Mg/m³



Among the records above, which one has the lowest calculated density? Sc4TcP



calculated total energy of number 10 (ScTeP2)? -5.248 eV per atom